# CsVO2

CsVO2 after structural relaxation (PBE with a Hubbard U, Alexandria).

Output
E_tot in eV per formula unit: -24.08

a b c (Å): 7.274 7.274 5.972
angles (deg): 52.48 52.48 90.00
Site moments in Bohr magnetons follow the coordinates.
Fractional coordinates of all 8 atoms:
V 0.750 0.250 0.500  1.87
O 0.125 0.625 0.000  -0.02
Cs 0.750 0.750 0.500  0.01
Cs 0.250 0.250 0.500  0.01
V 0.250 0.750 0.500  1.87
O 0.625 0.875 0.000  -0.02
O 0.875 0.375 0.000  -0.02
O 0.375 0.125 0.000  -0.02